The following is a DFT calculation (PBE) of a relaxed structure of Li2IrCl.

## Properties
Relative energy among the computed polymorphs, kcal/mol of atoms: 2.88
Crystal system: tetragonal
E_form (uncorrected), eV per atom: -0.458

abc: 2.838 2.838 7.235
angles: 90.00 90.00 90.00
Space group P4/mmm (No. 123)
Unique sites:
Li (0.000, 0.000, 0.214) x2
Ir (0.500, 0.500, 0.500) x1
Cl (0.500, 0.500, 0.000) x1

***

The following is a DFT calculation (PBE) of a relaxed structure of ZrCdSe4.

## Properties
Crystal system: cubic
E_form (uncorrected), eV per atom: 0.350

abc: 8.101 8.101 8.101
angles: 90.00 90.00 90.00
Space group F-43m (No. 216)
Unique sites:
Zr (0.000, 0.000, 0.000) x4
Cd (0.250, 0.250, 0.750) x4
Se (0.126, 0.126, 0.374) x16

***

The following is a DFT calculation (PBE) of a relaxed structure of Ho3Ag2Pd8.

## Properties
Energy of formation, eV per atom: -0.458
Crystal system: trigonal

abc: 5.3452 5.3452 30.4452
angles: 90.00 90.00 120.00
Space group R-3m (No. 166, hexagonal axes)
Unique sites:
Ho (0.0000, 0.0000, 0.0000) x3
Ho (0.0000, 0.0000, 0.1883) x6
Ag (0.0000, 0.0000, 0.3622) x6
Pd (0.0000, 0.0000, 0.2769) x6
Pd (0.0023, 0.5012, 0.7701) x18

***

The following is a DFT calculation (PBE) of a relaxed structure of ScFeCo.

## Properties
Energy of formation, eV per atom: 0.154
Crystal system: cubic

abc: 5.811 5.811 5.811
angles: 90.00 90.00 90.00
Space group F-43m (No. 216)
Unique sites:
Sc (0.000, 0.000, 0.000) x4
Fe (0.000, 0.000, 0.500) x4
Co (0.250, 0.250, 0.250) x4

***

The following is a DFT calculation (PBE) of a relaxed structure of FeAgSb2.

## Properties
Relative energy among the computed polymorphs, kcal/mol of atoms: 2.30
Crystal system: monoclinic
E_form (uncorrected), eV per atom: 0.260

abc: 3.785 4.187 5.543
angles: 90.00 109.95 90.00
Space group Pm (No. 6)
Unique sites:
Fe (0.000, 0.000, 0.000) x1
Ag (0.833, 0.500, 0.663) x1
Sb (0.274, 0.000, 0.545) x1
Sb (0.557, 0.500, 0.116) x1

***

The following is a DFT calculation (PBE) of a relaxed structure of Zr2Sc2N3.

## Properties
Crystal system: monoclinic
E_form (uncorrected), eV per atom: -1.575

abc: 10.731 3.252 5.609
angles: 90.00 100.85 90.00
Space group C2/m (No. 12)
Unique sites:
Zr (0.133, 0.000, 0.365) x4
Sc (0.127, 0.500, 0.884) x4
N (0.000, 0.000, 0.000) x2
N (0.249, 0.000, 0.755) x4

***

Number 1: DOS(E_F) 3.39 states/eV/f.u., final energy -4.092 eV/atom, magnetization 0.00 μB per formula unit. Number 2: DOS(E_F) 6.07 states/eV/f.u., final energy -3.551 eV/atom, magnetization 0.61 μB per formula unit. Number 3: DOS(E_F) 6.85 states/eV/f.u., final energy -5.149 eV/atom, magnetization 0.00 μB per formula unit. Number 4: DOS(E_F) 2.47 states/eV/f.u., final energy -7.146 eV/atom, magnetization 3.20 μB per formula unit. Number 5: DOS(E_F) 3.23 states/eV/f.u., final energy -4.629 eV/atom, magnetization 2.56 μB per formula unit. Number 6: DOS(E_F) 3.08 states/eV/f.u., final energy -9.395 eV/atom, magnetization 0.00 μB per formula unit.